# 1
# Zr2MnAl

A PBEsol-optimized structure of Zr2MnAl (meta-GGA SCAN, the Alexandria database).

Computed properties:
**Space-group type**: Imm2
**Total energy**: -88.1 eV/cell
**D(E_F)**: 3.8 states/eV/f.u.

Lattice parameters (Å, degrees): 5.500 5.500 5.500 146.46 130.44 61.18
Fractional coordinates of all 4 atoms:
1 Zr 0.000 0.000 0.000
2 Zr 0.716 0.216 0.500
3 Mn 0.499 0.499 0.000
4 Al 0.291 0.791 0.500


# 2
# Zr2MnAl

A PBEsol-optimized structure of Zr2MnAl (meta-GGA SCAN, the Alexandria database).

Computed properties:
**Space-group type**: I4/mmm
**Total energy**: -88.7 eV/cell
**D(E_F)**: 2.8 states/eV/f.u.

Lattice parameters (Å, degrees): 5.082 5.082 5.082 131.56 131.56 70.92
Fractional coordinates of all 4 atoms:
1 Zr 0.250 0.750 0.500
2 Zr 0.750 0.250 0.500
3 Mn 0.000 0.000 0.000
4 Al 0.500 0.500 0.000


# 3
# Al3Mo

A PBEsol-optimized structure of Al3Mo (meta-GGA SCAN, the Alexandria database).

Computed properties:
**Space-group type**: C2/m
**Total energy**: -58.8 eV/cell
**D(E_F)**: 2.3 states/eV/f.u.

Lattice parameters (Å, degrees): 4.892 4.892 4.784 96.51 96.51 32.61
Fractional coordinates of all 4 atoms:
1 Al 0.000 0.000 0.000
2 Al 0.242 0.242 0.740
3 Al 0.758 0.758 0.260
4 Mo 0.500 0.500 0.500


# 4
# AlMo2

A PBEsol-optimized structure of AlMo2 (meta-GGA SCAN, the Alexandria database).

Computed properties:
**Space-group type**: P6_3/mmc
**Energy above the lowest structure with this stoichiometry**: 88 kJ/mol of formula units
**D(E_F)**: 2.4 states/eV/f.u.

Lattice parameters (Å, degrees): 4.502 4.502 5.323 90.00 90.00 120.00
Fractional coordinates of all 6 atoms:
1 Al 0.000 0.000 0.250
2 Al 0.000 0.000 0.750
3 Mo 0.333 0.667 0.021
4 Mo 0.333 0.667 0.479
5 Mo 0.667 0.333 0.521
6 Mo 0.667 0.333 0.979


# 5
# Al8Mo3

A PBEsol-optimized structure of Al8Mo3 (meta-GGA SCAN, the Alexandria database).

Computed properties:
**Space-group type**: C2/m
**Total energy**: -170.9 eV/cell
**D(E_F)**: 1.1 states/eV/f.u.

Lattice parameters (Å, degrees): 4.926 4.926 10.003 100.10 100.10 43.16
Fractional coordinates of all 11 atoms:
1 Al 0.040 0.040 0.321
2 Al 0.132 0.132 0.958
3 Al 0.228 0.228 0.590
4 Al 0.313 0.313 0.222
5 Al 0.687 0.687 0.778
6 Al 0.772 0.772 0.410
7 Al 0.868 0.868 0.042
8 Al 0.960 0.960 0.679
9 Mo 0.406 0.406 0.841
10 Mo 0.500 0.500 0.500
11 Mo 0.594 0.594 0.159


# 6
# AlMo

A PBEsol-optimized structure of AlMo (meta-GGA SCAN, the Alexandria database).

Computed properties:
**Space-group type**: P6_3/mmc
**Total energy**: -80.9 eV/cell
**D(E_F)**: 2.4 states/eV/f.u.

Lattice parameters (Å, degrees): 4.368 4.368 4.938 90.00 90.00 120.00
Fractional coordinates of all 4 atoms:
1 Al 0.333 0.667 0.250
2 Al 0.667 0.333 0.750
3 Mo 0.333 0.667 0.750
4 Mo 0.667 0.333 0.250


# 7
# AlMo

A PBEsol-optimized structure of AlMo (meta-GGA SCAN, the Alexandria database).

Computed properties:
**Space-group type**: P4/nmm
**Total energy**: -86.4 eV/cell
**D(E_F)**: 0.9 states/eV/f.u.

Lattice parameters (Å, degrees): 3.198 3.198 5.874 90.00 90.00 90.00
Fractional coordinates of all 4 atoms:
1 Al 0.250 0.250 0.128
2 Al 0.750 0.750 0.872
3 Mo 0.250 0.250 0.616
4 Mo 0.750 0.750 0.384


# 8
# AlMo

A PBEsol-optimized structure of AlMo (meta-GGA SCAN, the Alexandria database).

Computed properties:
**Space-group type**: Fd-3m
**Total energy**: -86.3 eV/cell
**D(E_F)**: 0.5 states/eV/f.u.

Lattice parameters (Å, degrees): 4.364 4.364 4.364 60.00 60.00 60.00
Fractional coordinates of all 4 atoms:
1 Al 0.125 0.125 0.125
2 Al 0.875 0.875 0.875
3 Mo 0.375 0.375 0.375
4 Mo 0.625 0.625 0.625


Across the entries above, theoretical density takes the values 6.34, 6.10, 4.79, 7.78, 5.13, 5.00, 6.80, 6.95 Mg/m³, respectively.